1.
First-principles (PBE) data for a relaxed NdMgCo2H6 crystal, as listed in Alexandria.

## Properties
space group: R-3m (166)
DOS(E_F): 5.60 states/eV per cell
VASP energy: -4.311 eV/atom

Lattice parameters (Å, degrees): 5.726 5.726 5.726 45.74 45.74 45.74
Fractional positions:
Nd1 0.000 0.000 0.000
Mg1 0.500 0.500 0.500
Co1 0.205 0.205 0.205
Co2 0.795 0.795 0.795
H1 0.052 0.575 0.575
H2 0.425 0.425 0.948
H3 0.425 0.948 0.425
H4 0.575 0.052 0.575
H5 0.575 0.575 0.052
H6 0.948 0.425 0.425

***

2.
First-principles (PBE) data for a relaxed Mg2CoNiH crystal, as listed in Alexandria.

## Properties
space group: P4/mmm (123)
DOS(E_F): 2.06 states/eV per cell
VASP energy: -3.945 eV/atom
ΔE to the lowest computed polymorph: 0.000 eV/f.u.

Lattice parameters (Å, degrees): 4.276 4.276 3.208 90.00 90.00 90.00
Fractional positions:
Mg1 0.000 0.500 0.000
Mg2 0.500 0.000 0.000
Co1 0.000 0.000 0.500
Ni1 0.500 0.500 0.500
H1 0.000 0.000 0.000

***

3.
First-principles (PBE) data for a relaxed MgCo2NiH crystal, as listed in Alexandria.

## Properties
space group: P4/mmm (123)
DOS(E_F): 5.52 states/eV per cell
VASP energy: -4.924 eV/atom
ΔE to the lowest computed polymorph: 0.270 eV/f.u.

Lattice parameters (Å, degrees): 3.564 3.564 4.011 90.00 90.00 90.00
Fractional positions:
Mg1 0.000 0.000 0.000
Co1 0.000 0.500 0.500
Co2 0.500 0.000 0.500
Ni1 0.500 0.500 0.000
H1 0.000 0.000 0.500

***

4.
First-principles (PBE) data for a relaxed Mg2CoNiH crystal, as listed in Alexandria.

## Properties
space group: P4/mmm (123)
DOS(E_F): 4.59 states/eV per cell
VASP energy: -3.883 eV/atom
ΔE to the lowest computed polymorph: 0.312 eV/f.u.

Lattice parameters (Å, degrees): 4.330 4.330 3.191 90.00 90.00 90.00
Fractional positions:
Mg1 0.000 0.500 0.000
Mg2 0.500 0.000 0.000
Co1 0.000 0.000 0.500
Ni1 0.500 0.500 0.500
H1 0.500 0.500 0.000

***

5.
First-principles (PBE) data for a relaxed MgCo2NiH crystal, as listed in Alexandria.

## Properties
space group: P4/mmm (123)
DOS(E_F): 4.75 states/eV per cell
VASP energy: -4.978 eV/atom
ΔE to the lowest computed polymorph: 0.000 eV/f.u.

Lattice parameters (Å, degrees): 3.630 3.630 3.843 90.00 90.00 90.00
Fractional positions:
Mg1 0.000 0.000 0.000
Co1 0.000 0.500 0.500
Co2 0.500 0.000 0.500
Ni1 0.500 0.500 0.000
H1 0.500 0.500 0.500

***

6.
First-principles (PBE) data for a relaxed MgNpCo2H8 crystal, as listed in Alexandria.

## Properties
space group: R-3 (148)
DOS(E_F): 6.22 states/eV per cell
VASP energy: -4.600 eV/atom

Lattice parameters (Å, degrees): 6.503 6.503 6.503 38.07 38.07 38.07
Fractional positions:
Mg1 0.000 0.000 0.000
Np1 0.500 0.500 0.500
Co1 0.233 0.233 0.233
Co2 0.767 0.767 0.767
H1 0.087 0.597 0.487
H2 0.144 0.144 0.144
H3 0.403 0.513 0.913
H4 0.487 0.087 0.597
H5 0.513 0.913 0.403
H6 0.597 0.487 0.087
H7 0.856 0.856 0.856
H8 0.913 0.403 0.513

***

7.
First-principles (PBE) data for a relaxed MgPaCo2H6 crystal, as listed in Alexandria.

## Properties
space group: R-3m (166)
DOS(E_F): 3.84 states/eV per cell
VASP energy: -4.783 eV/atom

Lattice parameters (Å, degrees): 5.557 5.557 5.557 46.13 46.13 46.13
Fractional positions:
Mg1 0.000 0.000 0.000
Pa1 0.500 0.500 0.500
Co1 0.289 0.289 0.289
Co2 0.711 0.711 0.711
H1 0.060 0.060 0.563
H2 0.060 0.563 0.060
H3 0.437 0.940 0.940
H4 0.563 0.060 0.060
H5 0.940 0.437 0.940
H6 0.940 0.940 0.437

***

8.
First-principles (PBE) data for a relaxed MgPaCo2H8 crystal, as listed in Alexandria.

## Properties
space group: P-3 (147)
DOS(E_F): 5.47 states/eV per cell
VASP energy: -4.415 eV/atom

Lattice parameters (Å, degrees): 4.180 4.180 6.596 90.00 90.00 120.00
Fractional positions:
Mg1 0.000 0.000 0.000
Pa1 0.000 0.000 0.500
Co1 0.333 0.667 0.246
Co2 0.667 0.333 0.754
H1 0.058 0.704 0.780
H2 0.296 0.353 0.780
H3 0.333 0.667 0.487
H4 0.353 0.058 0.220
H5 0.647 0.942 0.780
H6 0.667 0.333 0.513
H7 0.704 0.647 0.220
H8 0.942 0.296 0.220